K3SmY2Te6 | PBE-GGA | relaxed

Results
For the formation energy from raw total energies, the calculation gives -1.412 eV/atom. As for the crystal system: monoclinic. For the energy, the calculation gives -56.736 eV per formula unit.

a b c (Å): 7.835 13.571 8.652
angles (deg): 90.00 107.58 90.00
Space group C2/m (No. 12)
Symmetry-distinct sites (fractional):
K1 0.000 0.000 0.000 (multiplicity 2)
K2 0.000 0.334 0.000 (multiplicity 4)
Sm1 0.000 0.500 0.500 (multiplicity 2)
Y1 0.000 0.167 0.500 (multiplicity 4)
Te1 0.232 0.000 0.710 (multiplicity 4)
Te2 0.239 0.331 0.710 (multiplicity 8)